The following is a DFT calculation (GGA-PBE) of an optimized crystal structure of NaYIn2I6.

Structure (CIF):
```
data_NaYIn2I6
_cell_length_a 8.4407
_cell_length_b 8.4407
_cell_length_c 21.5480
_cell_angle_alpha 90.00
_cell_angle_beta 90.00
_cell_angle_gamma 120.00
_space_group_name_H-M_alt 'R 3'
_space_group_IT_number 146
_space_group_name_Hall 'R 3'
loop_
_atom_site_label
_atom_site_fract_x
_atom_site_fract_y
_atom_site_fract_z
_atom_site_occupancy
Na1 0.0000 0.0000 0.0000 1
Y1 0.0000 0.0000 0.4940 1
In1 0.0000 0.0000 0.2928 1
In2 0.0000 0.0000 0.7997 1
I1 0.0074 0.4025 0.2384 1
I2 0.0678 0.7079 0.0743 1
```

Calculated values
As for the crystal system: trigonal. The value obtained for the uncorrected formation energy is -951 kJ/mol of formula units. As for the electronic total energy: -3.2422 eV/atom.